Computed, not measured: a geometry-optimized HfSi2Se8 structure at the PBE-GGA level of DFT.

Output
D(E_F), states/eV/atom: 0.5939
Formation energy from raw total energies, eV per atom: -0.43
E, eV per formula unit: -53.46

Lattice parameters (Å, degrees): 10.2904 11.5538 6.0390 90.00 106.41 90.00
With the nearest neighbours (Å) after each atom.
Space group C2/m (No. 12)
Unique sites:
Hf 0.0000 0.0000 0.0000  6 Se 2.66-2.70
Si 0.2150 0.0000 0.6899  4 Se 2.27-2.35
Se 0.0469 0.5000 0.2046  1 Si 2.35, 1 Se 2.39
Se 0.1117 0.1594 0.7826  1 Si 2.27
Se 0.2372 0.0000 0.3225  1 Si 2.29



Computed, not measured: a geometry-optimized Hf2SiSe structure at the PBE-GGA level of DFT.

Output
Energy relative to the lowest polymorph listed for this composition, kJ/mol of formula units: 293
D(E_F), states/eV/atom: 0.6117
Formation energy from raw total energies, eV per atom: -0.10
E, eV per formula unit: -29.21

Lattice parameters (Å, degrees): 5.9511 5.9511 12.0780 90.00 90.00 90.00
With the nearest neighbours (Å) after each atom.
Space group I-42d (No. 122)
Unique sites:
Hf 0.2376 0.2500 0.1250  2 Si 2.55, 2 Se 2.63
Si 0.0000 0.0000 0.0000  4 Hf 2.55
Se 0.0000 0.0000 0.5000  4 Hf 2.63



Computed, not measured: a geometry-optimized HfSiTc2Se structure at the PBE-GGA level of DFT.

Output
D(E_F), states/eV/atom: 0.9439
Formation energy from raw total energies, eV per atom: 0.79
E, eV per formula unit: -35.66

Lattice parameters (Å, degrees): 4.5038 4.5038 4.6538 90.00 90.00 90.00
With the nearest neighbours (Å) after each atom.
Space group P4/mmm (No. 123)
Unique sites:
Hf 0.0000 0.0000 0.0000  4 Se 3.18, 8 Tc 3.24
Si 0.5000 0.5000 0.5000  4 Tc 2.25, 2 Se 2.33
Tc 0.0000 0.5000 0.5000  2 Si 2.25
Se 0.5000 0.5000 0.0000  2 Si 2.33



What did the third record say?
Computed, not measured: a geometry-optimized HfSiTc2Se structure at the PBE-GGA level of DFT.

Output
D(E_F), states/eV/atom: 0.9439
Formation energy from raw total energies, eV per atom: 0.79
E, eV per formula unit: -35.66

Lattice parameters (Å, degrees): 4.5038 4.5038 4.6538 90.00 90.00 90.00
With the nearest neighbours (Å) after each atom.
Space group P4/mmm (No. 123)
Unique sites:
Hf 0.0000 0.0000 0.0000  4 Se 3.18, 8 Tc 3.24
Si 0.5000 0.5000 0.5000  4 Tc 2.25, 2 Se 2.33
Tc 0.0000 0.5000 0.5000  2 Si 2.25
Se 0.5000 0.5000 0.0000  2 Si 2.33